[1]
The following is a DFT calculation (PBE) of an optimized crystal structure of RbFeBr3.

Cell lengths 7.920, 7.822, 6.951 Å; angles 86.94, 74.81, 118.10 degrees
Last column: magnetic moment on the atom in μB.
Fractional coordinates of all 10 atoms:
1 Br 0.604 0.479 0.378  0.10
2 Br 0.086 0.382 0.311  0.15
3 Rb 0.012 0.716 0.923  0.00
4 Br 0.141 0.902 0.391  0.09
5 Fe 0.305 0.391 0.958  3.38
6 Rb 0.613 0.935 0.311  0.00
7 Br 0.484 0.749 0.843  0.09
8 Br 0.022 0.172 0.856  0.10
9 Fe 0.320 0.260 0.276  3.38
10 Br 0.539 0.270 0.922  0.15

## Properties
size of the total moment	4.00	μB/f.u.
Fermi-level density of states	0.0	states/eV/f.u.
ΔE_f (raw)	-0.983	eV per atom

***

[2]
The following is a DFT calculation (PBE) of an optimized crystal structure of Sc2Ga2Sn.

Cell lengths 4.179, 5.798, 9.556 Å; angles 77.30, 77.37, 68.88 degrees
Fractional coordinates of all 10 atoms:
1 Sc 0.683 0.735 0.898
2 Sn 0.194 0.933 0.679
3 Sc 0.478 0.353 0.690
4 Sn 0.806 0.067 0.321
5 Ga 0.946 0.203 0.906
6 Ga 0.054 0.797 0.094
7 Ga 0.127 0.312 0.434
8 Sc 0.522 0.647 0.310
9 Ga 0.873 0.688 0.566
10 Sc 0.317 0.265 0.102

## Properties
formation energy from the elements	-0.50	eV/atom
size of the total moment	0.00	μB/f.u.
Fermi-level density of states	2.9	states/eV/f.u.

***

Question: Among the records above, which one has the highest Fermi-level density of states?
Answer: Sc2Ga2Sn

***

Question: What is the size of the total moment in the first record?
Answer: 4.00 μB/f.u.